Computed, not measured: LiZrCd after structural relaxation at the PBE level of DFT.

a = 5.246 Å, b = 5.246 Å, c = 5.246 Å
α = 147.93°, β = 127.02°, γ = 63.29°
Positions (direct):
Cd 0.001 0.001 0.000
Zr 0.663 0.663 0.000
Li 0.336 0.336 0.000

## Properties
Raw total energy ... -3.730 eV/atom
Volume ... 20.20 Å³ per atom
Polymorph energy (0 for the lowest one) ... 0.215 eV per atom
DFT formation energy ... 0.063 eV per atom